DFT (PBE) results for Pr6C2SCl3 after structural relaxation.

Unit cell a=6.7943 b=6.7943 c=7.5080 alpha=98.67 beta=98.67 gamma=120.02
Sites, in units of the cell vectors:
Pr 0.0802 0.4346 0.8036
Pr 0.2113 0.2113 0.1967
Pr 0.4346 0.0802 0.8036
Pr 0.5654 0.9198 0.1964
Pr 0.7887 0.7887 0.8033
Pr 0.9198 0.5654 0.1964
C 0.1665 0.8335 0.0000
C 0.8335 0.1665 0.0000
S 0.5000 0.5000 0.0000
Cl 0.0000 0.0000 0.5000
Cl 0.3334 0.6666 0.5000
Cl 0.6666 0.3334 0.5000

SG = C2/m (12)
calculated volume = 286.1 Å³/cell
VASP energy = -6.00 eV per atom
mass density = 5.85 g/cm3

DFT (PBE) results for Pr3CSeCl after structural relaxation.

Unit cell a=8.2079 b=4.0208 c=10.5542 alpha=90.00 beta=94.39 gamma=90.00
Sites, in units of the cell vectors:
Pr 0.0966 0.2500 0.3833
Pr 0.1307 0.2500 0.8651
Pr 0.3549 0.7500 0.6307
Pr 0.6451 0.2500 0.3693
Pr 0.8693 0.7500 0.1349
Pr 0.9034 0.7500 0.6167
C 0.1341 0.2500 0.6347
C 0.8659 0.7500 0.3653
Se 0.3638 0.7500 0.3450
Se 0.6362 0.2500 0.6550
Cl 0.3716 0.7500 0.9066
Cl 0.6284 0.2500 0.0934

SG = P2_1/m (11)
calculated volume = 347.3 Å³/cell
VASP energy = -5.87 eV per atom
mass density = 5.25 g/cm3

DFT (PBE) results for Pr6C2Se3Cl after structural relaxation.

Unit cell a=9.2118 b=9.2118 c=8.4227 alpha=103.12 beta=103.12 gamma=25.15
Sites, in units of the cell vectors:
Pr 0.0232 0.0232 0.2700
Pr 0.3236 0.3236 0.4376
Pr 0.3247 0.3247 0.8696
Pr 0.6753 0.6753 0.1304
Pr 0.6764 0.6764 0.5624
Pr 0.9768 0.9768 0.7300
C 0.1688 0.1688 0.3327
C 0.8312 0.8312 0.6673
Se 0.1580 0.1580 0.8369
Se 0.5000 0.5000 0.5000
Se 0.8420 0.8420 0.1631
Cl 0.5000 0.5000 0.0000

SG = C2/m (12)
calculated volume = 295.4 Å³/cell
VASP energy = -6.21 eV per atom
mass density = 6.42 g/cm3

DFT (PBE) results for Pr4CSe2Cl after structural relaxation.

Unit cell a=7.1712 b=4.0397 c=7.2839 alpha=90.00 beta=108.20 gamma=90.00
Sites, in units of the cell vectors:
Pr 0.2125 0.0000 0.2108
Pr 0.2278 0.5000 0.7785
Pr 0.7722 0.5000 0.2215
Pr 0.7875 0.0000 0.7892
C 0.0000 0.5000 0.0000
Se 0.5000 0.0000 0.0000
Se 0.5000 0.5000 0.5000
Cl 0.0000 0.0000 0.5000

SG = P2/m (10)
calculated volume = 200.4 Å³/cell
VASP energy = -6.00 eV per atom
mass density = 6.37 g/cm3

DFT (PBE) results for Pr6SiC2Cl3 after structural relaxation.

Unit cell a=9.4440 b=9.4440 c=8.5805 alpha=107.98 beta=107.98 gamma=24.11
Sites, in units of the cell vectors:
Pr 0.0230 0.0230 0.2542
Pr 0.3189 0.3189 0.4447
Pr 0.3329 0.3329 0.8651
Pr 0.6671 0.6671 0.1349
Pr 0.6811 0.6811 0.5553
Pr 0.9770 0.9770 0.7458
Si 0.5000 0.5000 0.0000
C 0.1704 0.1704 0.3384
C 0.8296 0.8296 0.6616
Cl 0.1647 0.1647 0.8306
Cl 0.5000 0.5000 0.5000
Cl 0.8353 0.8353 0.1694

SG = C2/m (12)
calculated volume = 296.6 Å³/cell
VASP energy = -5.87 eV per atom
mass density = 5.62 g/cm3

DFT (PBE) results for Pr8Si3CCl4 after structural relaxation.

Unit cell a=8.6203 b=8.6203 c=8.6203 alpha=57.76 beta=57.76 gamma=57.76
Sites, in units of the cell vectors:
Pr 0.2416 0.2416 0.2416
Pr 0.2620 0.7236 0.7236
Pr 0.2764 0.2764 0.7380
Pr 0.2764 0.7380 0.2764
Pr 0.7236 0.2620 0.7236
Pr 0.7236 0.7236 0.2620
Pr 0.7380 0.2764 0.2764
Pr 0.7584 0.7584 0.7584
Si 0.0000 0.0000 0.5000
Si 0.0000 0.5000 0.0000
Si 0.5000 0.0000 0.0000
C 0.5000 0.5000 0.5000
Cl 0.0000 0.0000 0.0000
Cl 0.0000 0.5000 0.5000
Cl 0.5000 0.0000 0.5000
Cl 0.5000 0.5000 0.0000

SG = R-3m (166)
calculated volume = 429.6 Å³/cell
VASP energy = -5.55 eV per atom
mass density = 5.28 g/cm3

DFT (PBE) results for Pr4SiCCl2 after structural relaxation.

Unit cell a=7.0753 b=4.0275 c=7.5782 alpha=90.00 beta=108.15 gamma=90.00
Sites, in units of the cell vectors:
Pr 0.2126 0.0000 0.1988
Pr 0.2358 0.5000 0.7905
Pr 0.7642 0.5000 0.2095
Pr 0.7874 0.0000 0.8012
Si 0.5000 0.0000 0.0000
C 0.0000 0.5000 0.0000
Cl 0.0000 0.0000 0.5000
Cl 0.5000 0.5000 0.5000

SG = P2/m (10)
calculated volume = 205.2 Å³/cell
VASP energy = -5.73 eV per atom
mass density = 5.46 g/cm3

DFT (PBE) results for PrSmCCl after structural relaxation.

Unit cell a=7.5431 b=7.5431 c=7.5431 alpha=28.78 beta=28.78 gamma=28.78
Sites, in units of the cell vectors:
Pr 0.0000 0.0000 0.0000
Sm 0.7937 0.7937 0.7937
C 0.4001 0.4001 0.4001
Cl 0.2259 0.2259 0.2259

SG = R3m (160)
calculated volume = 88.0 Å³/cell
VASP energy = -6.16 eV per atom
mass density = 6.40 g/cm3

DFT (PBE) results for Pr2SmC2Cl2 after structural relaxation.

Unit cell a=8.0753 b=8.0753 c=8.0753 alpha=146.50 beta=146.50 gamma=48.11
Sites, in units of the cell vectors:
Pr 0.1055 0.1055 0.0000
Pr 0.8945 0.8945 0.0000
Sm 0.5000 0.5000 0.0000
C 0.0000 0.5000 0.5000
C 0.5000 0.0000 0.5000
Cl 0.3042 0.3042 0.0000
Cl 0.6958 0.6958 0.0000

SG = I4/mmm (139)
calculated volume = 159.8 Å³/cell
VASP energy = -5.90 eV per atom
mass density = 5.48 g/cm3

DFT (PBE) results for Pr3TeCCl after structural relaxation.

Unit cell a=8.5246 b=4.0952 c=10.2723 alpha=90.00 beta=96.91 gamma=90.00
Sites, in units of the cell vectors:
Pr 0.0840 0.2500 0.3817
Pr 0.1366 0.2500 0.8751
Pr 0.3471 0.7500 0.6352
Pr 0.6529 0.2500 0.3648
Pr 0.8634 0.7500 0.1249
Pr 0.9160 0.7500 0.6183
Te 0.3522 0.7500 0.3158
Te 0.6478 0.2500 0.6842
C 0.1390 0.2500 0.6382
C 0.8610 0.7500 0.3618
Cl 0.3648 0.7500 0.9175
Cl 0.6352 0.2500 0.0825

SG = P2_1/m (11)
calculated volume = 356.0 Å³/cell
VASP energy = -5.70 eV per atom
mass density = 5.58 g/cm3

DFT (PBE) results for Pr2TmC2Cl2 after structural relaxation.

Unit cell a=8.0695 b=8.0695 c=8.0695 alpha=147.50 beta=147.50 gamma=46.62
Sites, in units of the cell vectors:
Pr 0.1063 0.1063 0.0000
Pr 0.8937 0.8937 0.0000
Tm 0.5000 0.5000 0.0000
C 0.0000 0.5000 0.5000
C 0.5000 0.0000 0.5000
Cl 0.3093 0.3093 0.0000
Cl 0.6907 0.6907 0.0000

SG = I4/mmm (139)
calculated volume = 151.1 Å³/cell
VASP energy = -5.99 eV per atom
mass density = 6.00 g/cm3

DFT (PBE) results for PrYCCl after structural relaxation.

Unit cell a=7.4436 b=7.4436 c=7.4436 alpha=28.85 beta=28.85 gamma=28.85
Sites, in units of the cell vectors:
Pr 0.0000 0.0000 0.0000
Y 0.7927 0.7927 0.7927
C 0.4025 0.4025 0.4025
Cl 0.2226 0.2226 0.2226

SG = R3m (160)
calculated volume = 84.9 Å³/cell
VASP energy = -6.62 eV per atom
mass density = 5.42 g/cm3

Look up the VASP energy of the eleventh one. -5.99 eV per atom

Copy entry 9 word for word.
DFT (PBE) results for Pr2SmC2Cl2 after structural relaxation.

Unit cell a=8.0753 b=8.0753 c=8.0753 alpha=146.50 beta=146.50 gamma=48.11
Sites, in units of the cell vectors:
Pr 0.1055 0.1055 0.0000
Pr 0.8945 0.8945 0.0000
Sm 0.5000 0.5000 0.0000
C 0.0000 0.5000 0.5000
C 0.5000 0.0000 0.5000
Cl 0.3042 0.3042 0.0000
Cl 0.6958 0.6958 0.0000

SG = I4/mmm (139)
calculated volume = 159.8 Å³/cell
VASP energy = -5.90 eV per atom
mass density = 5.48 g/cm3